Entry 1:
The following is a PBE calculation of crystalline Sm2DyTe3 at its relaxed geometry, from OQMD.

a b c (Å): 4.4212 4.4212 10.7628
angles (deg): 90.00 90.00 120.00
Closest atoms and distances in Å follow each position.
Fractional coordinates of all 6 atoms:
Dy 0.0000 0.0000 0.5000  6 Te 3.09
Sm 0.3333 0.6667 0.1675  6 Te 3.12-3.15
Sm 0.6667 0.3333 0.8325  6 Te 3.12-3.15
Te 0.0000 0.0000 0.0000  6 Sm 3.12
Te 0.6667 0.3333 0.3389  3 Dy 3.09, 3 Sm 3.15
Te 0.3333 0.6667 0.6611  3 Dy 3.09, 3 Sm 3.15

Results
Crystal system ... trigonal
Space-group type ... No. 164

Entry 2:
The following is a PBE calculation of crystalline SmDyTe at its relaxed geometry, from OQMD.

a b c (Å): 5.1031 5.1031 5.1031
angles (deg): 60.00 60.00 60.00
Closest atoms and distances in Å follow each position.
Fractional coordinates of all 3 atoms:
Dy 0.2500 0.2500 0.2500  4 Te 3.12
Sm 0.7500 0.7500 0.7500  4 Te 3.12
Te 0.0000 0.0000 0.0000  4 Dy 3.12, 4 Sm 3.12

Results
Crystal system ... cubic
ΔE to the lowest computed polymorph ... 0.000 eV per atom
Space-group type ... No. 216

Entry 3:
The following is a PBE calculation of crystalline SmDy2Te3 at its relaxed geometry, from OQMD.

a b c (Å): 4.3721 4.3721 10.7607
angles (deg): 90.00 90.00 120.00
Closest atoms and distances in Å follow each position.
Fractional coordinates of all 6 atoms:
Dy 0.3333 0.6667 0.1642  6 Te 3.07-3.08
Dy 0.6667 0.3333 0.8358  6 Te 3.07-3.08
Sm 0.0000 0.0000 0.5000  6 Te 3.14
Te 0.0000 0.0000 0.0000  6 Dy 3.08
Te 0.6667 0.3333 0.3263  3 Dy 3.07, 3 Sm 3.14
Te 0.3333 0.6667 0.6737  3 Dy 3.07, 3 Sm 3.14

Results
Crystal system ... trigonal
Space-group type ... No. 164

Entry 4:
The following is a PBE calculation of crystalline SmDyTh at its relaxed geometry, from OQMD.

a b c (Å): 5.4296 5.4296 5.4296
angles (deg): 60.00 60.00 60.00
Closest atoms and distances in Å follow each position.
Fractional coordinates of all 3 atoms:
Dy 0.0000 0.0000 0.0000  4 Th 3.32, 4 Sm 3.32
Sm 0.2500 0.2500 0.2500  4 Dy 3.32
Th 0.7500 0.7500 0.7500  4 Dy 3.32

Results
Crystal system ... cubic
Energy of formation ... 0.79 eV/atom
ΔE to the lowest computed polymorph ... 0.000 eV per atom
Space-group type ... No. 216

Entry 5:
The following is a PBE calculation of crystalline SmDyTl2 at its relaxed geometry, from OQMD.

a b c (Å): 3.8149 3.8149 7.6204
angles (deg): 90.00 90.00 90.00
Closest atoms and distances in Å follow each position.
Fractional coordinates of all 4 atoms:
Dy 0.0000 0.0000 0.0000  8 Tl 3.27
Sm 0.0000 0.0000 0.5000  8 Tl 3.33
Tl 0.5000 0.5000 0.2429  4 Dy 3.27, 4 Sm 3.33
Tl 0.5000 0.5000 0.7571  4 Dy 3.27, 4 Sm 3.33

Results
Crystal system ... tetragonal
Space-group type ... No. 123

Entry 6:
The following is a PBE calculation of crystalline SmDyTl2Zn2 at its relaxed geometry, from OQMD.

a b c (Å): 4.7045 4.7045 7.4316
angles (deg): 90.00 90.00 120.00
Closest atoms and distances in Å follow each position.
Fractional coordinates of all 6 atoms:
Dy 0.0000 0.0000 0.3475  3 Zn 3.07, 6 Tl 3.16-3.40
Sm 0.0000 0.0000 0.8472  3 Zn 3.10, 6 Tl 3.19-3.44
Tl 0.6667 0.3333 0.1306  4 Zn 2.78-3.05
Tl 0.3333 0.6667 0.6217  3 Zn 2.78
Zn 0.3333 0.6667 0.0484  3 Tl 2.78, 3 Sm 3.10
Zn 0.6667 0.3333 0.5413  4 Tl 2.78-3.05, 3 Dy 3.07

Results
Crystal system ... trigonal
Space-group type ... No. 156

Entry 7:
The following is a PBE calculation of crystalline SmDyU at its relaxed geometry, from OQMD.

a b c (Å): 5.3074 5.3074 5.3074
angles (deg): 60.00 60.00 60.00
Closest atoms and distances in Å follow each position.
Fractional coordinates of all 3 atoms:
Dy 0.0000 0.0000 0.0000  4 U 3.25, 4 Sm 3.25
Sm 0.2500 0.2500 0.2500  4 Dy 3.25
U 0.7500 0.7500 0.7500  4 Dy 3.25

Results
Crystal system ... cubic
Energy of formation ... 1.28 eV/atom
ΔE to the lowest computed polymorph ... 0.000 eV per atom
Space-group type ... No. 216

Entry 8:
The following is a PBE calculation of crystalline SmDyW at its relaxed geometry, from OQMD.

a b c (Å): 4.9143 4.9143 4.9143
angles (deg): 60.00 60.00 60.00
Closest atoms and distances in Å follow each position.
Fractional coordinates of all 3 atoms:
Dy 0.0000 0.0000 0.0000  4 Sm 3.01, 4 W 3.01
Sm 0.2500 0.2500 0.2500  4 Dy 3.01
W 0.7500 0.7500 0.7500  4 Dy 3.01

Results
Crystal system ... cubic
Energy of formation ... 1.43 eV/atom
ΔE to the lowest computed polymorph ... 0.000 eV per atom
Space-group type ... No. 216

Entry 9:
The following is a PBE calculation of crystalline SmDyZn4 at its relaxed geometry, from OQMD.

a b c (Å): 5.6786 5.6786 5.6786
angles (deg): 133.36 101.70 96.35
Closest atoms and distances in Å follow each position.
Fractional coordinates of all 6 atoms:
Dy 0.4724 0.4724 0.0000  12 Zn 3.05-3.26
Sm 0.0335 0.5335 0.5000  12 Zn 3.09-3.25
Zn 0.0388 0.8327 0.2061  3 Zn 2.58-2.59
Zn 0.4601 0.1643 0.2958  3 Zn 2.58-2.59
Zn 0.8686 0.1643 0.7042  3 Zn 2.58-2.59
Zn 0.6266 0.8327 0.7939  3 Zn 2.58-2.59

Results
Crystal system ... orthorhombic
Energy of formation ... -0.38 eV/atom
Space-group type ... No. 44

Entry 10:
The following is a PBE calculation of crystalline SmDy4Zn5 at its relaxed geometry, from OQMD.

a b c (Å): 3.5729 3.5729 17.8686
angles (deg): 90.00 90.00 90.00
Closest atoms and distances in Å follow each position.
Fractional coordinates of all 10 atoms:
Dy 0.0000 0.0000 0.2027  8 Zn 3.07-3.08
Dy 0.0000 0.0000 0.4011  8 Zn 3.08-3.09
Dy 0.0000 0.0000 0.5989  8 Zn 3.08-3.09
Dy 0.0000 0.0000 0.7973  8 Zn 3.07-3.08
Sm 0.0000 0.0000 0.0000  8 Zn 3.15
Zn 0.5000 0.5000 0.1054  4 Dy 3.07, 4 Sm 3.15
Zn 0.5000 0.5000 0.3016  8 Dy 3.08-3.09
Zn 0.5000 0.5000 0.5000  8 Dy 3.08
Zn 0.5000 0.5000 0.6984  8 Dy 3.08-3.09
Zn 0.5000 0.5000 0.8946  4 Dy 3.07, 4 Sm 3.15

Results
Crystal system ... tetragonal
Energy of formation ... -0.34 eV/atom
Space-group type ... No. 123

Entry 11:
The following is a PBE calculation of crystalline SmDyZn at its relaxed geometry, from OQMD.

a b c (Å): 4.9902 4.9902 4.9902
angles (deg): 60.00 60.00 60.00
Closest atoms and distances in Å follow each position.
Fractional coordinates of all 3 atoms:
Dy 0.0000 0.0000 0.0000  4 Zn 3.06
Sm 0.5000 0.5000 0.5000  4 Zn 3.06
Zn 0.7500 0.7500 0.7500  4 Dy 3.06, 4 Sm 3.06

Results
Crystal system ... cubic
Energy of formation ... 0.02 eV/atom
ΔE to the lowest computed polymorph ... 0.000 eV per atom
Space-group type ... No. 216

Entry 12:
The following is a PBE calculation of crystalline DySn2 at its relaxed geometry, from OQMD.

a b c (Å): 9.9048 9.9048 9.9048
angles (deg): 60.00 60.00 60.00
Closest atoms and distances in Å follow each position.
Fractional coordinates of all 6 atoms:
Dy 0.2500 0.2500 0.2500  4 Sn 3.03
Dy 0.5000 0.5000 0.5000  4 Sn 3.03
Sn 0.8750 0.3750 0.3750  2 Dy 3.03
Sn 0.3750 0.8750 0.3750  2 Dy 3.03
Sn 0.3750 0.3750 0.3750  2 Dy 3.03
Sn 0.3750 0.3750 0.8750  2 Dy 3.03

Results
Crystal system ... cubic
Space-group type ... No. 227

Entry 13:
The following is a PBE calculation of crystalline DySn2 at its relaxed geometry, from OQMD.

a b c (Å): 4.3467 8.4581 8.4581
angles (deg): 30.37 90.00 90.00
Closest atoms and distances in Å follow each position.
Fractional coordinates of all 6 atoms:
Dy 0.0000 0.4016 0.4016  10 Sn 3.15-3.45
Dy 0.5000 0.5985 0.5985  10 Sn 3.15-3.46
Sn 0.0000 0.0637 0.0637  2 Sn 3.01, 4 Dy 3.15
Sn 0.5000 0.2487 0.2487  4 Sn 3.10, 4 Dy 3.30-3.31
Sn 0.0000 0.7515 0.7515  4 Sn 3.10, 4 Dy 3.30-3.31
Sn 0.5000 0.9360 0.9360  2 Sn 3.01, 4 Dy 3.15

Results
Crystal system ... orthorhombic
Space-group type ... No. 63

Entry 14:
The following is a PBE calculation of crystalline Dy2Sn5 at its relaxed geometry, from OQMD.

a b c (Å): 4.3539 4.4316 19.0916
angles (deg): 90.00 90.00 90.00
Closest atoms and distances in Å follow each position.
Fractional coordinates of all 14 atoms:
Dy 0.7500 0.2500 0.1292  10 Sn 3.15-3.41
Dy 0.2500 0.2500 0.3000  10 Sn 3.18-3.52
Dy 0.7500 0.7500 0.7000  10 Sn 3.18-3.52
Dy 0.2500 0.7500 0.8708  10 Sn 3.15-3.41
Sn 0.7500 0.7500 0.0015  4 Sn 3.11, 4 Dy 3.29-3.31
Sn 0.2500 0.7500 0.1566  2 Sn 3.00, 4 Dy 3.15
Sn 0.7500 0.7500 0.2649  2 Sn 3.00, 4 Dy 3.18
Sn 0.2500 0.7500 0.4230  5 Sn 2.92-3.11, 2 Dy 3.23
Sn 0.7500 0.2500 0.4243  5 Sn 2.92-3.11, 2 Dy 3.22
Sn 0.2500 0.7500 0.5757  5 Sn 2.92-3.11, 2 Dy 3.22
Sn 0.7500 0.2500 0.5770  5 Sn 2.92-3.11, 2 Dy 3.23
Sn 0.2500 0.2500 0.7351  2 Sn 3.00, 4 Dy 3.18
Sn 0.7500 0.2500 0.8434  2 Sn 3.00, 4 Dy 3.15
Sn 0.2500 0.2500 0.9985  4 Sn 3.11, 4 Dy 3.29-3.31

Results
Crystal system ... orthorhombic
Space-group type ... No. 59

Entry 15:
The following is a PBE calculation of crystalline Dy3Sn7 at its relaxed geometry, from OQMD.

a b c (Å): 13.0106 13.0106 4.5413
angles (deg): 90.00 90.00 160.14
Closest atoms and distances in Å follow each position.
Fractional coordinates of all 10 atoms:
Dy 0.0000 0.0000 0.0000  12 Sn 3.19-3.36
Dy 0.8131 0.1869 0.0000  10 Sn 3.24-3.49
Dy 0.1869 0.8131 0.0000  10 Sn 3.24-3.49
Sn 0.5959 0.4041 0.0000  6 Sn 3.19-3.35, 4 Dy 3.24-3.33
Sn 0.4041 0.5959 0.0000  6 Sn 3.19-3.35, 4 Dy 3.24-3.33
Sn 0.9034 0.0966 0.5000  6 Sn 3.19-3.34, 4 Dy 3.24-3.36
Sn 0.7098 0.2902 0.5000  2 Sn 3.05, 4 Dy 3.25
Sn 0.5000 0.5000 0.5000  4 Dy 3.19, 8 Sn 3.34-3.35
Sn 0.2902 0.7098 0.5000  2 Sn 3.05, 4 Dy 3.25
Sn 0.0966 0.9034 0.5000  6 Sn 3.19-3.34, 4 Dy 3.24-3.36

Results
Crystal system ... orthorhombic
Space-group type ... No. 65

Entry 16:
The following is a PBE calculation of crystalline DySn2 at its relaxed geometry, from OQMD.

a b c (Å): 6.1433 6.1433 6.1433
angles (deg): 60.00 60.00 60.00
Closest atoms and distances in Å follow each position.
Fractional coordinates of all 6 atoms:
Dy 0.0000 0.0000 0.0000  12 Sn 3.60, 4 Dy 3.76
Dy 0.2500 0.2500 0.2500  12 Sn 3.60, 4 Dy 3.76
Sn 0.6250 0.6250 0.1250  6 Sn 3.07
Sn 0.6250 0.1250 0.6250  6 Sn 3.07
Sn 0.1250 0.6250 0.6250  6 Sn 3.07
Sn 0.6250 0.6250 0.6250  6 Sn 3.07

Results
Crystal system ... cubic
Space-group type ... No. 227

Entry 17:
The following is a PBE calculation of crystalline SrDySn2 at its relaxed geometry, from OQMD.

a b c (Å): 3.4608 7.1677 7.1677
angles (deg): 52.94 90.00 90.00
Closest atoms and distances in Å follow each position.
Fractional coordinates of all 4 atoms:
Dy 0.0000 0.6500 0.6500  3 Sn 3.00-3.25
Sn 0.0000 0.1055 0.1055  1 Sn 2.85
Sn 0.0000 0.8834 0.8834  1 Sn 2.85, 1 Dy 3.00
Sr 0.0000 0.3611 0.3611  3 Sn 3.21-3.28, 2 Sr 3.46

Results
Crystal system ... orthorhombic
Space-group type ... No. 38

Entry 18:
The following is a PBE calculation of crystalline DyTaSn at its relaxed geometry, from OQMD.

a b c (Å): 4.9875 4.9875 4.9875
angles (deg): 60.00 60.00 60.00
Closest atoms and distances in Å follow each position.
Fractional coordinates of all 3 atoms:
Dy 0.0000 0.0000 0.0000  4 Ta 3.05, 4 Sn 3.05
Sn 0.2500 0.2500 0.2500  4 Dy 3.05
Ta 0.7500 0.7500 0.7500  4 Dy 3.05

Results
Crystal system ... cubic
Space-group type ... No. 216

Entry 19:
The following is a PBE calculation of crystalline TbDyTa2Sn2 at its relaxed geometry, from OQMD.

a b c (Å): 4.1925 4.1925 8.1429
angles (deg): 90.00 90.00 90.00
Closest atoms and distances in Å follow each position.
Fractional coordinates of all 6 atoms:
Dy 0.0000 0.0000 0.3487  5 Sn 3.06-3.24
Sn 0.5000 0.5000 0.2537  4 Ta 2.94, 4 Dy 3.06, 1 Tb 3.23
Sn 0.0000 0.0000 0.7468  4 Ta 2.94, 4 Tb 3.07, 1 Dy 3.24
Ta 0.5000 0.0000 0.0003  4 Sn 2.94, 4 Ta 2.96
Ta 0.0000 0.5000 0.0003  4 Sn 2.94, 4 Ta 2.96
Tb 0.5000 0.5000 0.6501  5 Sn 3.07-3.23

Results
Crystal system ... tetragonal
Space-group type ... No. 99

Entry 20:
The following is a PBE calculation of crystalline DyYTa2Sn2 at its relaxed geometry, from OQMD.

a b c (Å): 4.1921 4.1921 8.1233
angles (deg): 90.00 90.00 90.00
Closest atoms and distances in Å follow each position.
Fractional coordinates of all 6 atoms:
Dy 0.0000 0.0000 0.3473  5 Sn 3.06-3.25
Sn 0.5000 0.5000 0.2537  4 Ta 2.94, 4 Dy 3.06, 1 Y 3.23
Sn 0.0000 0.0000 0.7468  4 Ta 2.94, 4 Y 3.06, 1 Dy 3.25
Ta 0.5000 0.0000 0.0003  4 Sn 2.94, 4 Ta 2.96
Ta 0.0000 0.5000 0.0003  4 Sn 2.94, 4 Ta 2.96
Y 0.5000 0.5000 0.6515  5 Sn 3.06-3.23

Results
Crystal system ... tetragonal
Space-group type ... No. 99

Magnetization values, unit μB per cell, following the record order: 0.0, 0.7, 0.0, 0.0, 0.0, 0.0, 3.5, 1.5, 0.0, 0.7, 0.0, 4.3, 0.0, 0.0, 0.0, 0.0, 0.2, 3.0, 0.9, 0.9.
Total energy values, unit eV/atom, following the record order: -5.26, -4.70, -5.21, -4.78, -3.87, -3.12, -5.59, -5.99, -2.78, -3.28, -3.50, -2.98, -4.80, -4.69, -4.70, -4.42, -3.51, -5.86, -7.19, -7.51.